Entry from the Alexandria database: an optimized crystal structure of Pm2ZnPd3Au12 (PBE-GGA).

- Calculated volume: 23.8 Å³ per atom
- ΔE_f: 11 meV per atom
- Spin magnetization: 0.00 Bohr magnetons per cell
- Final energy: -65.5 eV/cell
- Space group: R-3m (166)

Cell: 8.2441 8.2441 8.2441 Å, 63.58 63.58 63.58°
Closest atoms and distances in Å follow each position.
Positions (direct):
Pm  0.6149  0.6149  0.6149  6 Au 2.94-2.97
Pm  0.3851  0.3851  0.3851  6 Au 2.94-2.97
Au  0.6221  0.0783  0.6221  2 Pd 2.67, 2 Au 2.83, 1 Pm 2.94
Au  0.3656  0.8632  0.8632  1 Zn 2.59, 1 Pd 2.67, 4 Au 2.79-2.83
Au  0.0783  0.6221  0.6221  2 Pd 2.67, 2 Au 2.83, 1 Pm 2.94
Au  0.8632  0.3656  0.8632  1 Zn 2.59, 1 Pd 2.67, 4 Au 2.79-2.83
Au  0.6344  0.1368  0.1368  1 Zn 2.59, 1 Pd 2.67, 4 Au 2.79-2.83
Au  0.9217  0.3779  0.3779  2 Pd 2.67, 2 Au 2.83, 1 Pm 2.94
Au  0.1368  0.6344  0.1368  1 Zn 2.59, 1 Pd 2.67, 4 Au 2.79-2.83
Au  0.1368  0.1368  0.6344  1 Zn 2.59, 1 Pd 2.67, 4 Au 2.79-2.83
Au  0.3779  0.3779  0.9217  2 Pd 2.67, 2 Au 2.83, 1 Pm 2.94
Au  0.3779  0.9217  0.3779  2 Pd 2.67, 2 Au 2.83, 1 Pm 2.94
Au  0.8632  0.8632  0.3656  1 Zn 2.59, 1 Pd 2.67, 4 Au 2.79-2.83
Au  0.6221  0.6221  0.0783  2 Pd 2.67, 2 Au 2.83, 1 Pm 2.94
Zn  0.0000  0.0000  0.0000  6 Au 2.59
Pd  0.0000  0.0000  0.5000  6 Au 2.67
Pd  0.0000  0.5000  0.0000  6 Au 2.67
Pd  0.5000  0.0000  0.0000  6 Au 2.67